1.
Computed, not measured: LaPu after structural relaxation at the GGA-PBE level of DFT.

Cell lengths 6.436, 6.436, 6.436 Å; angles 90.00, 90.00, 90.00 degrees
Space group F-43m (No. 216)
Inequivalent atoms, fractional coordinates:
La1 0.000 0.000 0.000 x4
Pu1 0.250 0.250 0.750 x4

## Properties
formation enthalpy at 0 K = 1.168 eV/atom
distance to the lowest polymorph of the same formula = 1036 meV/atom


2.
Computed, not measured: Y2PdPb after structural relaxation at the GGA-PBE level of DFT.

Cell lengths 7.309, 7.309, 7.309 Å; angles 90.00, 90.00, 90.00 degrees
Space group F-43m (No. 216)
Inequivalent atoms, fractional coordinates:
Y1 0.000 0.000 0.000 x4
Y2 0.250 0.250 0.250 x4
Pd1 0.250 0.250 0.750 x4
Pb1 0.000 0.000 0.500 x4

## Properties
total DFT energy (no corrections) = -0.415 Ry/atom


no.,ρ (g cm⁻³)
1,9.5
2,8.4